[1]
The following is a DFT calculation (PBE) of crystalline MgTi2O5 at its relaxed geometry.

## Properties
Crystal system: orthorhombic
Energy relative to the lowest polymorph listed for this composition: 0.022 eV/atom
Calculated total energy: -8.24 eV per atom

The structure in POSCAR format:
```
MgTi2O5
1.0
1.8872 -4.9794 0.0000
1.8872 4.9794 0.0000
0.0000 0.0000 9.9463
Mg Ti O
2 4 10
Direct
0.1437 0.8563 0.5000
0.8563 0.1437 0.0000
0.1359 0.8641 0.8781
0.1841 0.8159 0.1822
0.8159 0.1841 0.6822
0.8641 0.1359 0.3781
0.0416 0.9584 0.3136
0.0480 0.9520 0.0526
0.2548 0.7452 0.6980
0.2931 0.7069 0.0134
0.3179 0.6821 0.3546
0.6821 0.3179 0.8546
0.7069 0.2931 0.5134
0.7452 0.2548 0.1980
0.9520 0.0480 0.5526
0.9584 0.0416 0.8136
```

[2]
The following is a DFT calculation (PBE) of crystalline SiTe3I at its relaxed geometry.

## Properties
Crystal system: cubic
Energy relative to the lowest polymorph listed for this composition: 1.083 eV/atom
Calculated total energy: -2.08 eV per atom

The structure in POSCAR format:
```
SiTe3I
1.0
5.8140 0.0000 0.0000
0.0000 5.8140 0.0000
0.0000 0.0000 5.8140
Si Te I
1 3 1
Direct
0.0000 0.0000 0.0000
0.0000 0.5000 0.5000
0.5000 0.0000 0.5000
0.5000 0.5000 0.0000
0.5000 0.5000 0.5000
```

[3]
The following is a DFT calculation (PBE) of crystalline SbAsBr2 at its relaxed geometry.

## Properties
Crystal system: trigonal
Energy relative to the lowest polymorph listed for this composition: 0.240 eV/atom
Calculated total energy: -3.06 eV per atom

The structure in POSCAR format:
```
SbAsBr2
1.0
4.0104 0.0000 0.0000
-2.0052 3.4731 0.0000
0.0000 0.0000 26.6719
Sb As Br
3 3 6
Direct
0.0000 0.0000 0.0000
0.3333 0.6667 0.6667
0.6667 0.3333 0.3333
0.0000 0.0000 0.7199
0.3333 0.6667 0.3866
0.6667 0.3333 0.0533
0.0000 0.0000 0.2554
0.0000 0.0000 0.4603
0.3333 0.6667 0.1270
0.3333 0.6667 0.9221
0.6667 0.3333 0.5888
0.6667 0.3333 0.7937
```

| no. | V (Å³/cell) | uncorrected formation energy (eV per atom) | theoretical density (g/cm³) |
| --- | --- | --- | --- |
| 1 | 186.93 | -2.968 | 3.55 |
| 2 | 196.53 | 1.199 | 4.54 |
| 3 | 371.50 | -0.029 | 4.78 |